Here is crystalline Pm2TmScTe4 at its relaxed geometry from Alexandria via LeMat-Bulk. Energies are from GGA-PBE.

Cell: 7.4636 4.2870 7.6990 Å, 90.00 108.68 90.00°
With the nearest neighbours (Å) after each atom.
Space group P2/m (No. 10)
Inequivalent atoms, fractional coordinates:
Pm  0.0000  0.0000  0.0000 x1  6 Te 3.18-3.19
Pm  0.5000  0.5000  0.0000 x1  6 Te 3.14-3.15
Tm  0.0000  0.5000  0.5000 x1  6 Te 3.02
Sc  0.5000  0.0000  0.5000 x1  6 Te 2.98
Te  0.2487  0.0000  0.7325 x2  1 Sc 2.98, 2 Tm 3.02, 3 Pm 3.14-3.18
Te  0.2616  0.5000  0.2709 x2  2 Sc 2.98, 1 Tm 3.02, 3 Pm 3.15-3.19

Values from the calculation:
**Formation energy without anion corrections**: -1271 meV per atom
**VASP energy**: -43.04 eV per formula unit
**Total moment**: 0.00 μB/f.u.


Here is crystalline PmTm2ScTe6 at its relaxed geometry from Alexandria via LeMat-Bulk. Energies are from GGA-PBE.

Cell: 7.5994 7.5994 20.8314 Å, 90.00 90.00 120.00°
With the nearest neighbours (Å) after each atom.
Space group R3 (No. 146, hexagonal axes)
Inequivalent atoms, fractional coordinates:
Pm  0.0000  0.0000  0.0000 x3  6 Te 3.11-3.18
Tm  0.0000  0.0000  0.3122 x3  6 Te 3.05-3.06
Tm  0.0000  0.0000  0.8151 x3  6 Te 3.01-3.08
Sc  0.0000  0.0000  0.4965 x3  6 Te 2.95-2.96
Te  0.0095  0.6993  0.4081 x9  1 Sc 2.96, 2 Tm 3.01-3.06, 1 Pm 3.11
Te  0.0133  0.3383  0.5702 x9  1 Sc 2.95, 2 Tm 3.05-3.08, 1 Pm 3.18

Values from the calculation:
**Formation energy without anion corrections**: -1298 meV per atom
**VASP energy**: -51.85 eV per formula unit
**Total moment**: 0.00 μB/f.u.


Here is crystalline Pm3YSc2Te6 at its relaxed geometry from Alexandria via LeMat-Bulk. Energies are from GGA-PBE.

Cell: 19.0431 4.3166 8.7763 Å, 90.00 104.29 90.00°
With the nearest neighbours (Å) after each atom.
Space group C2/m (No. 12)
Inequivalent atoms, fractional coordinates:
Pm  0.0000  0.0000  0.0000 x2  6 Te 3.12-3.19
Pm  0.1616  0.5000  0.3285 x4  6 Te 3.13-3.18
Y  0.0000  0.0000  0.5000 x2  6 Te 3.04-3.09
Sc  0.1664  0.5000  0.8321 x4  6 Te 2.92-2.98
Te  0.0080  0.5000  0.7483 x4  1 Sc 2.92, 2 Y 3.04, 3 Pm 3.12-3.13
Te  0.1673  0.0000  0.5979 x4  2 Sc 2.98, 1 Y 3.09, 3 Pm 3.16-3.18
Te  0.1724  0.0000  0.0692 x4  3 Sc 2.98, 3 Pm 3.18-3.19

Values from the calculation:
**Formation energy without anion corrections**: -1284 meV per atom
**VASP energy**: -67.63 eV per formula unit
**Total moment**: 0.00 μB/f.u.


Here is crystalline Pm2Y3ScTe6 at its relaxed geometry from Alexandria via LeMat-Bulk. Energies are from GGA-PBE.

Cell: 19.0465 4.3465 8.7689 Å, 90.00 102.70 90.00°
With the nearest neighbours (Å) after each atom.
Space group C2/m (No. 12)
Inequivalent atoms, fractional coordinates:
Pm  0.1698  0.0000  0.3347 x4  6 Te 3.11-3.23
Y  0.0000  0.5000  0.5000 x2  6 Te 3.02-3.15
Y  0.1760  0.0000  0.8372 x4  6 Te 3.06-3.19
Sc  0.0000  0.5000  0.0000 x2  6 Te 2.94-3.03
Te  0.0042  0.0000  0.7619 x4  2 Sc 3.03, 3 Y 3.15-3.19, 1 Pm 3.23
Te  0.1582  0.5000  0.0726 x4  1 Sc 2.94, 3 Y 3.07-3.08, 2 Pm 3.14
Te  0.1627  0.5000  0.5875 x4  3 Y 3.02-3.06, 3 Pm 3.11-3.13

Values from the calculation:
**Formation energy without anion corrections**: -1302 meV per atom
**VASP energy**: -69.70 eV per formula unit
**Total moment**: 0.00 μB/f.u.


Here is crystalline PmTh7Sc2 at its relaxed geometry from Alexandria via LeMat-Bulk. Energies are from GGA-PBE.

Cell: 17.9783 4.9811 7.0438 Å, 90.00 101.45 90.00°
With the nearest neighbours (Å) after each atom.
Space group C2/m (No. 12)
Inequivalent atoms, fractional coordinates:
Pm  0.0000  0.0000  0.0000 x2  12 Th 3.52-3.58
Th  0.0000  0.0000  0.5000 x2  2 Sc 3.50, 2 Pm 3.52, 8 Th 3.53-3.55
Th  0.1011  0.5000  0.8000 x4  8 Th 3.47-3.63, 2 Sc 3.51, 2 Pm 3.54
Th  0.1049  0.5000  0.3084 x4  3 Sc 3.44-3.46, 7 Th 3.48-3.63, 2 Pm 3.58
Th  0.2019  0.0000  0.1035 x4  7 Th 3.47-3.54, 4 Sc 3.49-3.56, 1 Pm 3.56
Sc  0.1987  0.0000  0.5972 x4  10 Th 3.44-3.56, 2 Sc 3.53

Values from the calculation:
**VASP energy**: -68.73 eV per formula unit
**Energy of formation**: 0.625 eV/f.u.
**Total moment**: 0.00 μB/f.u.


Here is crystalline Pm2Th2Sc5 at its relaxed geometry from Alexandria via LeMat-Bulk. Energies are from GGA-PBE.

Cell: 13.8272 9.0653 8.4520 Å, 90.00 90.00 90.00°
With the nearest neighbours (Å) after each atom.
Space group Ima2 (No. 46)
Inequivalent atoms, fractional coordinates:
Pm  0.1239  0.0619  0.0000 x8  5 Sc 3.18-3.43, 2 Th 3.27-3.38, 1 Pm 3.49
Th  0.0000  0.0000  0.6769 x4  4 Sc 2.95-3.29, 2 Pm 3.27
Th  0.2500  0.0011  0.3357 x4  8 Sc 3.18-3.51, 2 Pm 3.38
Sc  0.0209  0.1665  0.3323 x8  3 Sc 3.07-3.28, 2 Pm 3.18-3.29, 2 Th 3.29-3.31
Sc  0.1469  0.7241  0.0997 x8  1 Sc 2.85, 1 Th 2.95, 1 Pm 3.19
Sc  0.2500  0.1554  0.6734 x4  2 Th 3.18-3.40, 4 Pm 3.37-3.43

Values from the calculation:
**VASP energy**: -53.11 eV per formula unit
**Energy of formation**: 2.894 eV/f.u.
**Total moment**: 0.00 μB/f.u.


Here is crystalline Pm2Th6Sc5 at its relaxed geometry from Alexandria via LeMat-Bulk. Energies are from GGA-PBE.

Cell: 11.5480 19.6039 3.4550 Å, 90.00 90.00 90.00°
With the nearest neighbours (Å) after each atom.
Space group Pbam (No. 55)
Inequivalent atoms, fractional coordinates:
Pm  0.1592  0.2206  0.0000 x4  6 Sc 3.43-3.71, 2 Pm 3.45, 4 Th 3.55-3.79
Th  0.0598  0.9231  0.0000 x4  5 Th 3.32-3.45, 6 Sc 3.38-3.52
Th  0.0701  0.6342  0.0000 x4  6 Sc 3.25-3.50, 4 Th 3.45-3.53, 1 Pm 3.55
Th  0.1939  0.3860  0.5000 x4  3 Sc 3.16-3.52, 6 Th 3.41-3.53
Sc  0.0000  0.5000  0.5000 x2  6 Th 3.16-3.25, 2 Sc 3.45
Sc  0.0974  0.7763  0.5000 x4  5 Th 3.23-3.38, 4 Pm 3.43-3.47, 2 Sc 3.45
Sc  0.2029  0.0550  0.5000 x4  3 Sc 3.45-3.60, 7 Th 3.50-3.52, 2 Pm 3.71

Values from the calculation:
**VASP energy**: -83.80 eV per formula unit
**Energy of formation**: 1.876 eV/f.u.
**Total moment**: 0.00 μB/f.u.


Here is crystalline Pm2Th2Sc5 at its relaxed geometry from Alexandria via LeMat-Bulk. Energies are from GGA-PBE.

Cell: 28.9495 5.2536 3.3966 Å, 90.00 96.15 90.00°
With the nearest neighbours (Å) after each atom.
Space group C2/m (No. 12)
Inequivalent atoms, fractional coordinates:
Pm  0.1065  0.0000  0.3814 x4  4 Sc 3.21-3.42, 2 Pm 3.40
Th  0.1733  0.5000  0.9355 x4  2 Th 3.40, 7 Sc 3.42-3.58, 4 Pm 3.66-3.68
Sc  0.0000  0.0000  0.0000 x2  6 Sc 3.15-3.40, 2 Pm 3.21
Sc  0.0492  0.5000  0.7511 x4  6 Sc 3.15-3.47, 2 Pm 3.42
Sc  0.2219  0.0000  0.4847 x4  4 Sc 3.09-3.40, 1 Pm 3.32, 5 Th 3.42-3.44

Values from the calculation:
**VASP energy**: -55.26 eV per formula unit
**Energy of formation**: 0.734 eV/f.u.
**Total moment**: 0.00 μB/f.u.


Here is crystalline PmTh4Sc6 at its relaxed geometry from Alexandria via LeMat-Bulk. Energies are from GGA-PBE.

Cell: 8.6324 8.6324 5.1243 Å, 90.00 90.00 120.00°
With the nearest neighbours (Å) after each atom.
Space group P-6m2 (No. 187)
Inequivalent atoms, fractional coordinates:
Pm  0.0000  0.0000  0.0000 x1  6 Th 3.90, 12 Sc 4.09-4.35
Th  0.3333  0.6667  0.0000 x1  9 Sc 3.07-3.13
Th  0.3939  0.1970  0.5000 x3  6 Sc 3.07-3.24
Sc  0.2128  0.4257  0.5000 x3  4 Th 3.07-3.13, 2 Sc 3.12
Sc  0.5384  0.0769  0.0000 x3  5 Th 3.07-3.24, 2 Sc 3.32

Values from the calculation:
**VASP energy**: -67.64 eV per formula unit
**Energy of formation**: 4.783 eV/f.u.
**Total moment**: 0.00 μB/f.u.


Here is crystalline PmTh2Sc at its relaxed geometry from Alexandria via LeMat-Bulk. Energies are from GGA-PBE.

Cell: 3.4292 3.4292 36.6932 Å, 90.00 90.00 120.00°
With the nearest neighbours (Å) after each atom.
Space group R-3m (No. 166, hexagonal axes)
Inequivalent atoms, fractional coordinates:
Pm  0.0000  0.0000  0.0000 x3  2 Th 3.30, 6 Pm 3.43
Th  0.0000  0.0000  0.0900 x6  1 Pm 3.30, 6 Th 3.43, 3 Sc 3.44
Sc  0.0000  0.0000  0.5000 x3  6 Sc 3.43, 6 Th 3.44

Values from the calculation:
**VASP energy**: -25.12 eV per formula unit
**Energy of formation**: 0.802 eV/f.u.
**Total moment**: 0.00 μB/f.u.


Here is crystalline Pm8Th4Sc at its relaxed geometry from Alexandria via LeMat-Bulk. Energies are from GGA-PBE.

Cell: 11.7238 11.7238 11.4635 Å, 90.00 90.00 120.00°
With the nearest neighbours (Å) after each atom.
Space group R-3m (No. 166, hexagonal axes)
Inequivalent atoms, fractional coordinates:
Pm  0.0000  0.0000  0.2480 x6  1 Sc 2.84, 1 Th 2.89
Pm  0.0007  0.5004  0.1666 x18  3 Th 3.38-3.39, 3 Pm 3.38-3.52
Th  0.0000  0.0000  0.5000 x3  2 Pm 2.89
Th  0.0000  0.5000  0.5000 x9  6 Pm 3.39-3.51
Sc  0.0000  0.0000  0.0000 x3  2 Pm 2.84

Values from the calculation:
**VASP energy**: -67.50 eV per formula unit
**Energy of formation**: 6.519 eV/f.u.
**Total moment**: 0.00 μB/f.u.


Here is crystalline PmThSc3 at its relaxed geometry from Alexandria via LeMat-Bulk. Energies are from GGA-PBE.

Cell: 6.7169 3.4505 23.8820 Å, 90.00 90.00 90.00°
With the nearest neighbours (Å) after each atom.
Space group Pnma (No. 62)
Inequivalent atoms, fractional coordinates:
Pm  0.1057  0.2500  0.1530 x4  8 Sc 3.32-3.44, 2 Pm 3.45, 2 Th 3.47
Th  0.1303  0.2500  0.5508 x4  6 Sc 3.32-3.38, 4 Th 3.45, 2 Pm 3.47
Sc  0.1092  0.2500  0.3498 x4  2 Pm 3.34-3.38, 2 Th 3.35, 8 Sc 3.37-3.45
Sc  0.1341  0.2500  0.9520 x4  4 Th 3.32-3.38, 6 Sc 3.39-3.45, 2 Pm 3.44
Sc  0.1433  0.2500  0.7482 x4  4 Pm 3.32-3.37, 8 Sc 3.36-3.45

Values from the calculation:
**VASP energy**: -30.87 eV per formula unit
**Energy of formation**: 0.294 eV/f.u.
**Total moment**: 0.00 μB/f.u.